No. 1
Here is CrBiOs3 at its PBEsol-relaxed geometry from the Alexandria database. Energies are from meta-GGA SCAN.

## Properties
ΔH_f (0 K) (eV per atom): 1.695
Symmetry: No. 221

POSCAR file:
```
CrBiOs3
1.0
4.488 0.000 0.000
0.000 4.488 0.000
0.000 0.000 4.488
Cr Bi Os
1 1 3
direct
0.000 0.000 0.000
0.500 0.500 0.500
0.000 0.000 0.500
0.000 0.500 0.000
0.500 0.000 0.000
```

No. 2
Here is YCr2BiOs at its PBEsol-relaxed geometry from the Alexandria database. Energies are from meta-GGA SCAN.

## Properties
ΔH_f (0 K) (eV per atom): 1.204
Symmetry: No. 123

POSCAR file:
```
YCr2BiOs
1.0
4.928 0.000 0.000
0.000 4.928 0.000
0.000 0.000 5.040
Y Cr Bi Os
1 2 1 1
direct
0.000 0.000 0.000
0.000 0.500 0.500
0.500 0.000 0.500
0.500 0.500 0.500
0.500 0.500 0.000
```

No. 3
Here is Ti2CrBiPb at its PBEsol-relaxed geometry from the Alexandria database. Energies are from meta-GGA SCAN.

## Properties
ΔH_f (0 K) (eV per atom): 0.563
Symmetry: No. 123

POSCAR file:
```
Ti2CrBiPb
1.0
4.641 0.000 0.000
0.000 4.641 0.000
0.000 0.000 4.992
Ti Cr Bi Pb
2 1 1 1
direct
0.000 0.500 0.000
0.500 0.000 0.000
0.000 0.000 0.000
0.000 0.000 0.500
0.500 0.500 0.500
```

No. 4
Here is CrBiPd3 at its PBEsol-relaxed geometry from the Alexandria database. Energies are from meta-GGA SCAN.

## Properties
ΔH_f (0 K) (eV per atom): 0.795
Symmetry: No. 221

POSCAR file:
```
CrBiPd3
1.0
4.943 0.000 0.000
0.000 4.943 0.000
0.000 0.000 4.943
Cr Bi Pd
1 1 3
direct
0.000 0.000 0.000
0.500 0.500 0.500
0.000 0.500 0.500
0.500 0.000 0.500
0.500 0.500 0.000
```

No. 5
Here is TlCrBiPt2 at its PBEsol-relaxed geometry from the Alexandria database. Energies are from meta-GGA SCAN.

## Properties
ΔH_f (0 K) (eV per atom): 0.825
Symmetry: No. 123

POSCAR file:
```
TlCrBiPt2
1.0
5.085 0.000 0.000
0.000 5.085 0.000
0.000 0.000 5.176
Tl Cr Bi Pt
1 1 1 2
direct
0.000 0.000 0.000
0.500 0.500 0.000
0.500 0.500 0.500
0.000 0.500 0.500
0.500 0.000 0.500
```

No. 6
Here is RbCrSi2Bi at its PBEsol-relaxed geometry from the Alexandria database. Energies are from meta-GGA SCAN.

## Properties
DFT total energy (eV/atom): -26.52
Symmetry: No. 123

POSCAR file:
```
RbCrSi2Bi
1.0
5.541 0.000 0.000
0.000 5.541 0.000
0.000 0.000 5.235
Rb Cr Si Bi
1 1 2 1
direct
0.000 0.000 0.000
0.500 0.500 0.000
0.000 0.500 0.500
0.500 0.000 0.500
0.500 0.500 0.500
```

No. 7
Here is Cr2BiRhSe at its PBEsol-relaxed geometry from the Alexandria database. Energies are from meta-GGA SCAN.

## Properties
DFT total energy (eV/atom): -33.01
Symmetry: No. 123

POSCAR file:
```
Cr2BiRhSe
1.0
4.506 0.000 0.000
0.000 4.506 0.000
0.000 0.000 5.480
Cr Bi Rh Se
2 1 1 1
direct
0.000 0.500 0.000
0.500 0.000 0.000
0.000 0.000 0.500
0.500 0.500 0.500
0.000 0.000 0.000
```

No. 8
Here is CrBiRu3 at its PBEsol-relaxed geometry from the Alexandria database. Energies are from meta-GGA SCAN.

## Properties
ΔH_f (0 K) (eV per atom): 2.110
Symmetry: No. 221

POSCAR file:
```
CrBiRu3
1.0
4.856 0.000 0.000
0.000 4.856 0.000
0.000 0.000 4.856
Cr Bi Ru
1 1 3
direct
0.000 0.000 0.000
0.500 0.500 0.500
0.000 0.500 0.500
0.500 0.000 0.500
0.500 0.500 0.000
```

No. 9
Here is CrBiS2 at its PBEsol-relaxed geometry from the Alexandria database. Energies are from meta-GGA SCAN.

## Properties
DFT total energy (eV/atom): -29.83
Symmetry: No. 166

POSCAR file:
```
CrBiS2
1.0
1.733 1.000 8.095
-1.733 1.000 8.095
0.000 -2.001 8.095
Cr Bi S
1 1 2
direct
0.000 0.000 0.000
0.500 0.500 0.500
0.385 0.385 0.385
0.615 0.615 0.615
```

No. 10
Here is ScCrBi2Sb at its PBEsol-relaxed geometry from the Alexandria database. Energies are from meta-GGA SCAN.

## Properties
DFT total energy (eV/atom): -44.94
Symmetry: No. 123

POSCAR file:
```
ScCrBi2Sb
1.0
5.472 0.000 0.000
0.000 5.472 0.000
0.000 0.000 5.351
Sc Cr Bi Sb
1 1 2 1
direct
0.000 0.000 0.000
0.500 0.500 0.500
0.000 0.500 0.000
0.500 0.000 0.000
0.000 0.000 0.500
```

No. 11
Here is Sc3CrBi at its PBEsol-relaxed geometry from the Alexandria database. Energies are from meta-GGA SCAN.

## Properties
ΔH_f (0 K) (eV per atom): 0.599
Symmetry: No. 221

POSCAR file:
```
Sc3CrBi
1.0
5.364 0.000 0.000
0.000 5.364 0.000
0.000 0.000 5.364
Sc Cr Bi
3 1 1
direct
0.000 0.000 0.500
0.000 0.500 0.000
0.500 0.000 0.000
0.500 0.500 0.500
0.000 0.000 0.000
```

These records have magnetization values of 0.0, 7.4, 0.4, 4.7, 4.6, 3.6, 8.8, 1.0, 3.0, 4.9, 6.0 μB/f.u., in the order they appear.